(1)
Tb3Al9Ga2 | PBE | relaxed

a = 4.3310 Å, b = 8.3710 Å, c = 8.3710 Å
α = 72.98°, β = 75.01°, γ = 75.01°
Closest atoms and distances in Å follow each position.
Fractional positions:
Al 0.6612 0.7099 0.9676  4 Al 2.57-2.69, 1 Ga 2.62
Tb 0.0000 0.0000 0.0000  12 Al 3.25-3.28, 4 Ga 3.63
Al 0.3388 0.2901 0.0324  4 Al 2.57-2.69, 1 Ga 2.62
Al 0.6612 0.9676 0.7099  4 Al 2.57-2.69, 1 Ga 2.62
Al 0.3388 0.0324 0.2901  4 Al 2.57-2.69, 1 Ga 2.62
Al 0.1413 0.5832 0.1342  4 Al 2.62-2.87, 2 Ga 2.82
Tb 0.6845 0.3155 0.3155  2 Ga 3.13, 10 Al 3.16-3.20
Ga 0.5000 0.2921 0.7079  6 Al 2.62-2.82
Al 0.8587 0.8658 0.4168  4 Al 2.62-2.87, 2 Ga 2.82
Ga 0.5000 0.7079 0.2921  6 Al 2.62-2.82
Tb 0.3155 0.6845 0.6845  2 Ga 3.13, 10 Al 3.16-3.20
Al 0.1413 0.1342 0.5832  4 Al 2.62-2.87, 2 Ga 2.82
Al 0.8587 0.4168 0.8658  4 Al 2.62-2.87, 2 Ga 2.82
Al 0.0000 0.5000 0.5000  4 Al 2.87, 4 Ga 3.00, 4 Tb 3.20

Properties
DOS at the Fermi energy = 0.309 states/eV/atom
symmetry = Immm

---

(2)
Tb3AlGa12 | PBE | relaxed

a = 4.2535 Å, b = 4.2535 Å, c = 17.0591 Å
α = 90.00°, β = 90.00°, γ = 90.00°
Closest atoms and distances in Å follow each position.
Fractional positions:
Ga 0.5000 0.5000 0.0000  8 Ga 2.88, 4 Al 3.01
Ga 0.0000 0.5000 0.1140  8 Ga 2.88-3.21, 2 Al 2.88, 2 Tb 3.09
Tb 0.0000 0.0000 0.5000  12 Ga 3.01-3.04
Tb 0.0000 0.0000 0.2455  12 Ga 3.01-3.09
Ga 0.0000 0.5000 0.8860  8 Ga 2.88-3.21, 2 Al 2.88, 2 Tb 3.09
Ga 0.5000 0.5000 0.7453  8 Ga 2.93-3.21, 4 Tb 3.01
Ga 0.5000 0.5000 0.5000  4 Tb 3.01, 8 Ga 3.04
Ga 0.5000 0.0000 0.1140  2 Al 2.88, 8 Ga 2.88-3.21, 2 Tb 3.09
Tb 0.0000 0.0000 0.7545  12 Ga 3.01-3.09
Ga 0.5000 0.0000 0.6272  8 Ga 2.93-3.04, 4 Tb 3.04
Al 0.0000 0.0000 0.0000  12 Ga 2.88-3.01
Ga 0.5000 0.0000 0.8860  2 Al 2.88, 8 Ga 2.88-3.21, 2 Tb 3.09
Ga 0.0000 0.5000 0.3728  8 Ga 2.93-3.04, 4 Tb 3.04
Ga 0.0000 0.5000 0.6272  8 Ga 2.93-3.04, 4 Tb 3.04
Ga 0.5000 0.5000 0.2547  8 Ga 2.93-3.21, 4 Tb 3.01
Ga 0.5000 0.0000 0.3728  8 Ga 2.93-3.04, 4 Tb 3.04

Properties
DOS at the Fermi energy = 0.411 states/eV/atom
symmetry = P4/mmm

---

(3)
Tb2Al2Ga3 | PBE | relaxed

a = 6.2082 Å, b = 6.2082 Å, c = 6.2082 Å
α = 55.46°, β = 55.46°, γ = 55.46°
Closest atoms and distances in Å follow each position.
Fractional positions:
Al 0.3012 0.3012 0.3012  3 Ga 2.69
Tb 0.5000 0.5000 0.5000  6 Ga 2.89, 2 Al 3.12
Ga 0.0000 0.5000 0.0000  2 Al 2.69, 4 Ga 2.89, 2 Tb 2.89
Ga 0.0000 0.0000 0.5000  2 Al 2.69, 4 Ga 2.89, 2 Tb 2.89
Al 0.6988 0.6988 0.6988  3 Ga 2.69
Ga 0.5000 0.0000 0.0000  2 Al 2.69, 2 Tb 2.89, 4 Ga 2.89
Tb 0.0000 0.0000 0.0000  6 Ga 3.10, 6 Al 3.37

Properties
ΔE to the lowest computed polymorph = 0.1635 eV/atom
DOS at the Fermi energy = 0.457 states/eV/atom
symmetry = R-3m

---

(4)
Tb2AlGa | PBE | relaxed

a = 4.4217 Å, b = 4.0840 Å, c = 5.9675 Å
α = 90.00°, β = 111.75°, γ = 90.00°
Closest atoms and distances in Å follow each position.
Fractional positions:
Ga 0.3702 0.0000 0.7405  2 Al 2.62
Al 0.5183 0.5000 0.0367  2 Ga 2.62
Tb 0.0884 0.0000 0.1769  4 Al 3.11, 3 Ga 3.12-3.28
Tb 0.8075 0.5000 0.6151  4 Ga 3.09, 3 Al 3.21-3.22

Properties
DOS at the Fermi energy = 0.926 states/eV/atom
symmetry = Amm2

---

(5)
Tb3Al2Ga9 | PBE | relaxed

a = 4.1851 Å, b = 8.4291 Å, c = 8.4291 Å
α = 72.49°, β = 75.63°, γ = 75.63°
Closest atoms and distances in Å follow each position.
Fractional positions:
Ga 0.1399 0.5848 0.1353  4 Ga 2.59-2.88, 2 Al 2.77
Ga 0.8601 0.4152 0.8647  4 Ga 2.59-2.88, 2 Al 2.77
Al 0.5000 0.7190 0.2810  6 Ga 2.65-2.77
Tb 0.0000 0.0000 0.0000  12 Ga 3.25-3.29, 4 Al 3.50
Ga 0.8601 0.8647 0.4152  4 Ga 2.59-2.88, 2 Al 2.77
Ga 0.3338 0.2922 0.0402  4 Ga 2.51-2.69, 1 Al 2.65
Ga 0.6662 0.9598 0.7078  4 Ga 2.51-2.69, 1 Al 2.65
Tb 0.3199 0.6801 0.6801  10 Ga 3.11-3.15, 2 Al 3.19
Ga 0.6662 0.7078 0.9598  4 Ga 2.51-2.69, 1 Al 2.65
Al 0.5000 0.2810 0.7190  6 Ga 2.65-2.77
Ga 0.1399 0.1353 0.5848  4 Ga 2.59-2.88, 2 Al 2.77
Ga 0.3338 0.0402 0.2922  4 Ga 2.51-2.69, 1 Al 2.65
Ga 0.0000 0.5000 0.5000  4 Ga 2.88, 4 Al 3.02, 4 Tb 3.13
Tb 0.6801 0.3199 0.3199  10 Ga 3.11-3.15, 2 Al 3.19

Properties
DOS at the Fermi energy = 0.310 states/eV/atom
symmetry = Immm

---

(6)
TbAl2Ga | PBE | relaxed

a = 6.5849 Å, b = 6.5849 Å, c = 6.5849 Å
α = 100.44°, β = 100.44°, γ = 100.44°
Closest atoms and distances in Å follow each position.
Fractional positions:
Al 0.7642 0.5000 0.2358  1 Ga 2.39
Al 0.2358 0.5000 0.7642  1 Ga 2.39
Al 0.7642 0.2358 0.5000  1 Ga 2.39
Tb 0.6712 0.6712 0.6712  2 Tb 2.99-3.12, 6 Al 3.10, 3 Ga 3.27
Ga 0.0000 0.5000 0.0000  2 Al 2.39
Ga 0.5000 0.0000 0.0000  2 Al 2.39
Al 0.2358 0.7642 0.5000  1 Ga 2.39
Al 0.5000 0.7642 0.2358  1 Ga 2.39
Tb 0.0000 0.0000 0.0000  2 Tb 2.99, 6 Ga 3.29
Ga 0.0000 0.0000 0.5000  2 Al 2.39
Al 0.5000 0.2358 0.7642  1 Ga 2.39
Tb 0.3288 0.3288 0.3288  2 Tb 2.99-3.12, 6 Al 3.10, 3 Ga 3.27

Properties
DOS at the Fermi energy = 0.571 states/eV/atom
symmetry = R-3m

---

| no. | formation enthalpy at 0 K (kcal/mol of atoms) | magnetization (μB per atom) |
| --- | --- | --- |
| 1 | -8.03 | 0.000 |
| 2 | -8.69 | 0.000 |
| 3 | -7.62 | 0.000 |
| 4 | -11.71 | 0.000 |
| 5 | -10.15 | 0.000 |
| 6 | -0.23 | 0.000 |